# BaGa2IrAu

A geometry-optimized BaGa2IrAu structure (GGA-PBE, Alexandria via LeMat-Bulk).

a = 4.8479 Å, b = 4.8479 Å, c = 5.4501 Å
α = 90.00°, β = 90.00°, γ = 90.00°
Space group P4/mmm (No. 123)
Inequivalent atoms, fractional coordinates:
1 Ba 0.0000 0.0000 0.0000
2 Ga 0.0000 0.5000 0.5000
3 Ir 0.5000 0.5000 0.0000
4 Au 0.5000 0.5000 0.5000

## Properties
DOS at the Fermi energy, states/eV/atom: 0.608
Excess energy over the best structure of this formula in the dataset, kJ per mole of atoms: 66.6
Formation enthalpy at 0 K, eV per atom: 0.193
Total DFT energy (no corrections), eV per atom: -3.83